(1)
A plane-wave DFT calculation with GGA-PBE was carried out for a geometry-optimized AcPm2Tm structure.

Unit cell a=3.6191 b=3.6191 c=12.9901 alpha=81.99 beta=81.99 gamma=60.00
With the nearest neighbours (Å) after each atom.
Element x y z (fractional)
Ac 0.0000 0.0000 0.0000  2 Pm 3.57, 6 Ac 3.62
Tm 0.5000 0.5000 0.5000  6 Pm 3.52, 6 Tm 3.62
Pm 0.0929 0.0929 0.7214  3 Tm 3.52, 1 Ac 3.57, 6 Pm 3.62
Pm 0.9071 0.9071 0.2786  3 Tm 3.52, 1 Ac 3.57, 6 Pm 3.62

Summary:
Symmetry: R-3m
Calculated formation energy: 0.169 eV/atom

(2)
A plane-wave DFT calculation with GGA-PBE was carried out for a geometry-optimized TcSbH2 structure.

Unit cell a=3.2611 b=3.2611 c=4.9259 alpha=70.68 beta=109.32 gamma=89.99
With the nearest neighbours (Å) after each atom.
Element x y z (fractional)
Sb 0.6096 0.7913 0.6106  8 H 2.59-2.85, 5 Tc 2.78-2.79
Tc 0.2887 0.1122 0.9689  4 H 1.81
H 0.3772 0.5232 0.1469  2 Tc 1.81
H 0.8777 0.0233 0.1469  2 Tc 1.81

Summary:
Symmetry: I4mm

(3)
A plane-wave DFT calculation with GGA-PBE was carried out for a geometry-optimized PuPa4Sn structure.

Unit cell a=6.0143 b=6.0143 c=6.0143 alpha=60.00 beta=60.00 gamma=60.00
With the nearest neighbours (Å) after each atom.
Element x y z (fractional)
Pa 0.6269 0.6269 0.1192  6 Pa 2.96-3.05
Pa 0.6269 0.1192 0.6269  6 Pa 2.96-3.05
Pa 0.6269 0.6269 0.6269  6 Pa 2.96-3.05
Pa 0.1192 0.6269 0.6269  6 Pa 2.96-3.05
Sn 0.0000 0.0000 0.0000  12 Pa 3.52, 4 Pu 3.68
Pu 0.2500 0.2500 0.2500  12 Pa 3.53, 4 Sn 3.68

Summary:
Symmetry: F-43m
Calculated formation energy: 0.184 eV/atom

(4)
A plane-wave DFT calculation with GGA-PBE was carried out for a geometry-optimized Rb2BePF6 structure.

Unit cell a=6.0662 b=6.0662 c=6.0303 alpha=59.80 beta=59.80 gamma=90.00
With the nearest neighbours (Å) after each atom.
Element x y z (fractional)
P 0.0000 0.0000 0.0000  2 F 1.81
Be 0.5000 0.5000 0.0000  4 F 1.68
Rb 0.7500 0.2500 0.5000  12 F 3.05
Rb 0.2500 0.7500 0.5000  12 F 3.05
F 0.2131 0.2131 0.5738  1 P 1.81
F 0.7869 0.7869 0.4262  1 P 1.81
F 0.3047 0.3047 0.0000  1 Be 1.68
F 0.6953 0.6953 0.0000  1 Be 1.68
F 0.6953 0.3047 0.0000  1 Be 1.68
F 0.3047 0.6953 0.0000  1 Be 1.68

Summary:
Symmetry: I4/mmm

(5)
A plane-wave DFT calculation with GGA-PBE was carried out for a geometry-optimized HfAuCl3 structure.

Unit cell a=4.9687 b=4.9687 c=4.9687 alpha=90.00 beta=90.00 gamma=90.00
With the nearest neighbours (Å) after each atom.
Element x y z (fractional)
Hf 0.0000 0.0000 0.0000  6 Cl 2.48
Au 0.5000 0.5000 0.5000  12 Cl 3.51
Cl 0.0000 0.5000 0.0000  2 Hf 2.48
Cl 0.0000 0.0000 0.5000  2 Hf 2.48
Cl 0.5000 0.0000 0.0000  2 Hf 2.48

Summary:
Symmetry: Pm-3m

(6)
A plane-wave DFT calculation with GGA-PBE was carried out for a geometry-optimized AcPaWN4 structure.

Unit cell a=5.5591 b=5.6747 c=7.0389 alpha=90.00 beta=113.26 gamma=90.00
With the nearest neighbours (Å) after each atom.
Element x y z (fractional)
Ac 0.6018 0.7500 0.2037  1 N 2.45
Ac 0.3982 0.2500 0.7963  1 N 2.45
Pa 0.1067 0.2500 0.2134  1 N 2.12
Pa 0.8933 0.7500 0.7866  1 N 2.12
W 0.2583 0.7500 0.5167  5 N 1.99
W 0.7417 0.2500 0.4833  5 N 1.99
N 0.9428 0.2500 0.8856  1 Pa 2.12
N 0.4121 0.7500 0.8242  1 W 1.99
N 0.0572 0.7500 0.1144  1 Pa 2.12
N 0.5879 0.2500 0.1758  1 W 1.99
N 0.5000 0.5000 0.5000  2 W 1.99
N 0.0000 0.0000 0.5000  2 W 1.99
N 0.5000 0.0000 0.5000  2 W 1.99
N 0.0000 0.5000 0.5000  2 W 1.99

Summary:
Symmetry: Cmcm

(7)
A plane-wave DFT calculation with GGA-PBE was carried out for a geometry-optimized TaHPt2 structure.

Unit cell a=4.3651 b=4.3651 c=4.3651 alpha=60.00 beta=60.00 gamma=60.00
With the nearest neighbours (Å) after each atom.
Element x y z (fractional)
H 0.0000 0.0000 0.0000  8 Pt 2.67
Pt 0.2500 0.2500 0.2500  4 Ta 2.67, 4 H 2.67
Pt 0.7500 0.7500 0.7500  4 Ta 2.67, 4 H 2.67
Ta 0.5000 0.5000 0.5000  8 Pt 2.67

Summary:
Symmetry: Fm-3m

(8)
A plane-wave DFT calculation with GGA-PBE was carried out for a geometry-optimized TaTi2Cr2 structure.

Unit cell a=6.9064 b=6.9064 c=3.2187 alpha=90.00 beta=90.00 gamma=90.00
With the nearest neighbours (Å) after each atom.
Element x y z (fractional)
Cr 0.3526 0.8526 0.0000  6 Ti 2.53-2.62, 2 Ta 2.64
Cr 0.8526 0.6474 0.0000  6 Ti 2.53-2.62, 2 Ta 2.64
Cr 0.6474 0.1474 0.0000  6 Ti 2.53-2.62, 2 Ta 2.64
Cr 0.1474 0.3526 0.0000  6 Ti 2.53-2.62, 2 Ta 2.64
Ti 0.1527 0.6527 0.5000  6 Cr 2.53-2.62
Ti 0.6527 0.8473 0.5000  6 Cr 2.53-2.62
Ti 0.8473 0.3473 0.5000  6 Cr 2.53-2.62
Ti 0.3473 0.1527 0.5000  6 Cr 2.53-2.62
Ta 0.0000 0.0000 0.0000  4 Cr 2.64
Ta 0.5000 0.5000 0.0000  4 Cr 2.64

Summary:
Symmetry: P4/mbm
Calculated formation energy: 0.243 eV/atom

no.,total DFT energy (no corrections) (eV per atom),DOS(E_F) (states/eV/cell)
1,-4.352,6.42
2,-5.337,0.11
3,-9.202,14.02
4,-4.515,4.49
5,-4.426,5.18
6,-9.608,8.36
7,-6.663,2.56
8,-9.135,9.67